VASP calculation (PBE-GGA) on a relaxed structure of Ni3RuPb.

Computed properties:
**E_tot**: -4.30 eV/atom
**Magnetization**: 3.58 μB per cell
**Density of states at the Fermi level**: 4.4 states/eV per cell

```
data_Ni3RuPb
_space_group_name_H-M_alt 'P 1'
_space_group_IT_number 1
_space_group_name_Hall 'P 1'
_cell_length_a 4.679
_cell_length_b 4.679
_cell_length_c 4.679
_cell_angle_alpha 90.00
_cell_angle_beta 90.00
_cell_angle_gamma 90.00
loop_
_atom_site_label
_atom_site_fract_x
_atom_site_fract_y
_atom_site_fract_z
_atom_site_occupancy
Ni1 0.000 0.000 0.500 1
Ni2 0.000 0.500 0.000 1
Ni3 0.500 0.000 0.000 1
Ru1 0.500 0.500 0.500 1
Pb1 0.000 0.000 0.000 1
```